Here is crystalline PRuCl at its relaxed geometry from Alexandria. Energies are from PBE.

Lattice parameters (Å, degrees): 3.043 3.043 11.275 90.00 90.00 90.00
Space group I4mm (No. 107)
Asymmetric unit:
P  0.000  0.000  0.000
Ru  0.000  0.000  0.583
Cl  0.000  0.000  0.811

Properties
relative energy among the computed polymorphs	111	meV per atom
uncorrected formation energy	-0.194	eV per atom
density	5.33	g/cm³